No. 1
An optimized crystal structure of ErGa2Ge2, computed with GGA-PBE.

Geometry as extended XYZ:
```
5
Lattice="-2.1598 2.1598 5.5522 2.1598 -2.1598 5.5522 2.1598 2.1598 -5.5522" Properties=species:S:1:pos:R:3 pbc="T T T"
Er 0.0000 0.0000 0.0000
Ga 0.0000 0.0000 4.3349
Ga 0.0000 0.0000 6.7694
Ge 0.0000 2.1598 2.7761
Ge 2.1598 0.0000 2.7761
```

Results
As for the total energy: -20.4 eV per formula unit.

***

No. 2
An optimized crystal structure of SiNiSn, computed with GGA-PBE.

Geometry as extended XYZ:
```
3
Lattice="0.0000 3.0672 3.0672 3.0672 0.0000 3.0672 3.0672 3.0672 0.0000" Properties=species:S:1:pos:R:3 pbc="T T T"
Ni 1.5336 1.5336 1.5336
Si 4.6007 4.6007 4.6007
Sn 0.0000 0.0000 0.0000
```

Results
As for the total energy: -13.6 eV per formula unit.

***

No. 3
An optimized crystal structure of ScCoNiGe, computed with GGA-PBE.

Geometry as extended XYZ:
```
4
Lattice="1.2664 -3.1475 2.6141 0.5179 0.7674 4.1817 -2.7442 -1.6610 2.8380" Properties=species:S:1:pos:R:3 pbc="T T T"
Co -0.7199 -3.0308 7.2254
Ge 0.0000 0.0000 0.0000
Ni -0.4799 -2.0206 4.8169
Sc -0.2400 -1.0103 2.4085
```

Results
The energy above the most stable polymorph in this dataset comes out at 0.219 eV/atom.

***

No. 4
An optimized crystal structure of YBeZnCo, computed with GGA-PBE.

Geometry as extended XYZ:
```
4
Lattice="0.0000 3.1329 3.1329 3.1329 0.0000 3.1329 3.1329 3.1329 0.0000" Properties=species:S:1:pos:R:3 pbc="T T T"
Be 3.1329 3.1329 3.1329
Co 4.6994 4.6994 4.6994
Y 1.5665 1.5665 1.5665
Zn 0.0000 0.0000 0.0000
```

Results
The energy above the most stable polymorph in this dataset comes out at 0.000 eV/atom.

***

No. 5
An optimized crystal structure of GdYAu, computed with GGA-PBE.

Geometry as extended XYZ:
```
12
Lattice="7.1247 0.0000 0.0000 0.0000 4.9735 0.0000 0.0000 0.0000 8.9959" Properties=species:S:1:pos:R:3 pbc="T T T"
Au 1.8427 1.2434 0.8893
Au 5.4050 1.2434 3.6086
Au 1.7197 3.7302 5.3872
Au 5.2821 3.7302 8.1066
Gd 3.6538 3.7302 1.5881
Gd 0.0915 3.7302 2.9098
Gd 7.0333 1.2434 6.0860
Gd 3.4709 1.2434 7.4077
Y 6.0590 1.2434 0.7359
Y 2.4966 1.2434 3.7621
Y 4.6281 3.7302 5.2338
Y 1.0658 3.7302 8.2600
```

Results
The energy above the most stable polymorph in this dataset comes out at 0.004 eV/atom. The calculation puts the formation energy at -0.6274 eV/atom.

***

No. 6
An optimized crystal structure of LiScCuS3, computed with GGA-PBE.

Geometry as extended XYZ:
```
12
Lattice="-4.8948 4.0544 0.2537 2.1506 -5.6886 -1.8644 -2.7453 -3.8517 8.5852" Properties=species:S:1:pos:R:3 pbc="T T T"
Cu -5.4390 2.8949 2.3573
Cu -0.0505 -8.3808 4.6172
Li -0.4133 -4.0551 0.8464
Li -5.0762 -1.4308 6.1282
S -4.1189 2.4328 0.5771
S -2.7228 -0.8613 1.5407
S -5.0977 1.0595 3.6380
S -0.3918 -6.5454 3.3365
S -2.7667 -4.6246 5.4338
S -1.3707 -7.9187 6.3974
Sc -1.3721 -0.8171 -0.8054
Sc -2.7448 -2.7429 3.4873
```

Results
The energy above the most stable polymorph in this dataset comes out at 0.043 eV/atom.

***

Asked for spin magnetization across the records above, the calculation gives 0.0; 0.0; 1.1; 1.1; 0.0; 0.0 μB per formula unit in order.